The following is a DFT calculation (PBE) of a geometry-optimized NaPr3 structure.

Lattice parameters (Å, degrees): 3.5478 3.4914 12.0278 90.00 90.00 90.00
Closest atoms and distances in Å follow each position.
Positions (direct):
Pr1 0.0000 0.5000 0.4689  10 Pr 3.49-3.64
Pr2 0.5000 0.5000 0.2113  6 Pr 3.49-3.57, 4 Na 3.88
Pr3 0.5000 0.0000 0.6894  8 Pr 3.49-3.64, 2 Na 3.75
Na1 0.0000 0.0000 0.9637  4 Na 3.49-3.55, 6 Pr 3.75-3.88

## Properties
E_tot, eV/cell: -14.7
Density, g/cm³: 4.97
M_tot, μB/cell: 0.000
Space group: No. 25

---

The following is a DFT calculation (PBE) of a geometry-optimized Na8B13C3 structure.

Lattice parameters (Å, degrees): 2.9198 5.1290 17.2669 90.00 90.00 90.00
Closest atoms and distances in Å follow each position.
Positions (direct):
Na1 0.0000 0.9970 0.5029  9 B 2.69-2.84, 3 C 2.70-2.73, 6 Na 2.92-2.98
Na2 0.0000 0.0030 0.2513  10 B 2.67-2.83, 2 C 2.76, 6 Na 2.92-2.97
Na3 0.5000 0.5034 0.5029  9 B 2.69-2.84, 3 C 2.71, 6 Na 2.92-2.98
Na4 0.5000 0.4980 0.2500  11 B 2.69-2.85, 1 C 2.76, 6 Na 2.92-2.97
Na5 0.0000 0.0030 0.9987  10 B 2.67-2.83, 2 C 2.76, 6 Na 2.92-2.97
Na6 0.0000 0.9970 0.7471  9 B 2.69-2.84, 3 C 2.70-2.73, 6 Na 2.92-2.98
Na7 0.5000 0.4980 0.0000  11 B 2.69-2.85, 1 C 2.76, 6 Na 2.92-2.97
Na8 0.5000 0.5034 0.7471  9 B 2.69-2.84, 3 C 2.71, 6 Na 2.92-2.98
C1 0.5000 0.8348 0.1250  3 B 1.55-1.67
C2 0.0000 0.3343 0.6250  3 B 1.69-1.72
C3 0.5000 0.8344 0.6250  3 B 1.69-1.72
B1 0.5000 0.1642 0.3822  3 B 1.70
B2 0.0000 0.3444 0.1250  3 B 1.71-1.81
B3 0.5000 0.1368 0.1250  1 C 1.55
B4 0.0000 0.3344 0.3822  3 B 1.70-1.71
B5 0.0000 0.6649 0.3710  3 B 1.70-1.71
B6 0.0000 0.6780 0.1250  2 C 1.67, 1 B 1.71
B7 0.5000 0.8349 0.3710  3 B 1.70
B8 0.5000 0.1642 0.8678  3 B 1.70
B9 0.5000 0.1691 0.6250  3 C 1.69-1.72
B10 0.0000 0.3344 0.8678  3 B 1.70-1.71
B11 0.0000 0.6649 0.8790  3 B 1.70-1.71
B12 0.0000 0.6687 0.6250  3 C 1.69-1.72
B13 0.5000 0.8349 0.8790  3 B 1.70

## Properties
E_tot, eV/cell: -119.8
Density, g/cm³: 2.31
M_tot, μB/cell: 0.000
Space group: No. 25

---

The following is a DFT calculation (PBE) of a geometry-optimized CaCd4F10 structure.

Lattice parameters (Å, degrees): 3.8833 3.8833 14.0095 97.97 97.97 90.00
Closest atoms and distances in Å follow each position.
Positions (direct):
Ca1 0.0000 0.0000 0.0000  8 F 2.38
Cd1 0.3997 0.3997 0.7993  8 F 2.38
Cd2 0.7999 0.7999 0.5998  8 F 2.38
Cd3 0.2001 0.2001 0.4002  8 F 2.38
Cd4 0.6003 0.6003 0.2007  8 F 2.38
F1 0.6503 0.1503 0.3005  4 Cd 2.38
F2 0.0501 0.5501 0.1001  2 Ca 2.38, 2 Cd 2.38
F3 0.4499 0.9499 0.8999  2 Ca 2.38, 2 Cd 2.38
F4 0.8497 0.3497 0.6995  4 Cd 2.38
F5 0.2500 0.7500 0.5000  4 Cd 2.38
F6 0.5501 0.0501 0.1001  2 Ca 2.38, 2 Cd 2.38
F7 0.9499 0.4499 0.8999  2 Ca 2.38, 2 Cd 2.38
F8 0.3497 0.8497 0.6995  4 Cd 2.38
F9 0.7500 0.2500 0.5000  4 Cd 2.38
F10 0.1503 0.6503 0.3005  4 Cd 2.38

## Properties
E_tot, eV/cell: -62.6
Density, g/cm³: 5.45
Raw formation energy, eV/atom: -2.5494
M_tot, μB/cell: 0.000
Space group: No. 139

---

- The highest density belongs to which entry?
  CaCd4F10